Record 1
Density functional theory data (meta-GGA SCAN) for a crystal of DyTmMg2 relaxed with PBEsol.

Properties
Energy of formation ... -0.060 eV per atom
Space-group type ... No. 225
Raw total energy ... -27.45 eV/atom

a = 5.2605 Å, b = 5.2605 Å, c = 5.2605 Å
α = 60.00°, β = 60.00°, γ = 60.00°
Closest atoms and distances in Å follow each position.
Element x y z (fractional)
Dy (0.0000, 0.0000, 0.0000)  8 Mg 3.22
Tm (0.5000, 0.5000, 0.5000)  8 Mg 3.22
Mg (0.2500, 0.2500, 0.2500)  4 Dy 3.22, 4 Tm 3.22
Mg (0.7500, 0.7500, 0.7500)  4 Dy 3.22, 4 Tm 3.22


Record 2
Density functional theory data (meta-GGA SCAN) for a crystal of Hf5ScSi4 relaxed with PBEsol.

Properties
Formation energy (no corrections) ... -0.771 eV per atom
Space-group type ... No. 83
Raw total energy ... -37.54 eV/atom

a = 6.9801 Å, b = 6.9801 Å, c = 3.6212 Å
α = 90.00°, β = 90.00°, γ = 90.00°
Closest atoms and distances in Å follow each position.
Element x y z (fractional)
Hf (0.0000, 0.0000, 0.0000)  4 Si 2.77
Hf (0.1696, 0.3233, 0.5000)  6 Si 2.70-2.79
Hf (0.3233, 0.8304, 0.5000)  6 Si 2.70-2.79
Hf (0.6767, 0.1696, 0.5000)  6 Si 2.70-2.79
Hf (0.8304, 0.6767, 0.5000)  6 Si 2.70-2.79
Sc (0.5000, 0.5000, 0.0000)  4 Si 2.76
Si (0.1243, 0.6232, 0.0000)  1 Si 2.44, 2 Hf 2.70
Si (0.3768, 0.1243, 0.0000)  1 Si 2.44, 2 Hf 2.70
Si (0.6232, 0.8757, 0.0000)  1 Si 2.44, 2 Hf 2.70
Si (0.8757, 0.3768, 0.0000)  1 Si 2.44, 2 Hf 2.70


Record 3
Density functional theory data (meta-GGA SCAN) for a crystal of Ba2WF2 relaxed with PBEsol.

Properties
Formation energy (no corrections) ... -1.203 eV per atom
Space-group type ... No. 139
Raw total energy ... -32.38 eV/atom

a = 5.6603 Å, b = 5.6603 Å, c = 5.6603 Å
α = 120.54°, β = 120.54°, γ = 89.06°
Closest atoms and distances in Å follow each position.
Element x y z (fractional)
Ba (0.2500, 0.7500, 0.5000)  4 F 2.81
Ba (0.7500, 0.2500, 0.5000)  4 F 2.81
W (0.0000, 0.0000, 0.0000)  2 F 2.07
F (0.2562, 0.2562, 0.0000)  1 W 2.07
F (0.7438, 0.7438, 0.0000)  1 W 2.07


Record 4
Density functional theory data (meta-GGA SCAN) for a crystal of Al2Hg relaxed with PBEsol.

Properties
Energy of formation ... 0.122 eV per atom
Space-group type ... No. 123
Energy above the lowest structure with this stoichiometry ... 2.2 meV per atom
Raw total energy ... -27.77 eV/atom

a = 3.8914 Å, b = 3.8914 Å, c = 4.1054 Å
α = 90.00°, β = 90.00°, γ = 90.00°
Closest atoms and distances in Å follow each position.
Element x y z (fractional)
Al (0.0000, 0.5000, 0.0000)  4 Al 2.75, 4 Hg 2.83
Al (0.5000, 0.0000, 0.0000)  4 Al 2.75, 4 Hg 2.83
Hg (0.0000, 0.0000, 0.5000)  8 Al 2.83


Record 5
Density functional theory data (meta-GGA SCAN) for a crystal of LiInAg relaxed with PBEsol.

Properties
Energy of formation ... -0.227 eV per atom
Space-group type ... No. 156
Raw total energy ... -22.61 eV/atom

a = 4.6048 Å, b = 4.6048 Å, c = 2.9062 Å
α = 90.00°, β = 90.00°, γ = 120.00°
Closest atoms and distances in Å follow each position.
Element x y z (fractional)
Li (0.0000, 0.0000, 0.0000)  3 Ag 2.76, 3 In 2.88, 2 Li 2.91
In (0.6667, 0.3333, 0.3797)  3 Ag 2.86, 3 Li 2.88, 2 In 2.91
Ag (0.3333, 0.6667, 0.7410)  3 Li 2.76, 3 In 2.86, 2 Ag 2.91


Record 6
Density functional theory data (meta-GGA SCAN) for a crystal of K2ZrCo relaxed with PBEsol.

Properties
Energy of formation ... 1.193 eV per atom
Space-group type ... No. 65
Energy above the lowest structure with this stoichiometry ... 4.9 meV per atom
Raw total energy ... -14.97 eV/atom

a = 6.6700 Å, b = 6.6700 Å, c = 2.9193 Å
α = 90.00°, β = 90.00°, γ = 130.79°
Closest atoms and distances in Å follow each position.
Element x y z (fractional)
K (0.0000, 0.5000, 0.0000)  4 K 2.78-2.92
K (0.5000, 0.0000, 0.0000)  4 K 2.78-2.92
Zr (0.0000, 0.0000, 0.5000)  2 Co 2.78, 2 Zr 2.92
Co (0.5000, 0.5000, 0.5000)  2 Zr 2.78, 2 Co 2.92


Record 7
Density functional theory data (meta-GGA SCAN) for a crystal of Li2CaRh relaxed with PBEsol.

Properties
Energy of formation ... 0.024 eV per atom
Space-group type ... No. 122
Energy above the lowest structure with this stoichiometry ... 188.7 meV per atom
Raw total energy ... -12.03 eV/atom

a = 10.2084 Å, b = 10.2084 Å, c = 10.2084 Å
α = 157.59°, β = 157.59°, γ = 31.90°
Closest atoms and distances in Å follow each position.
Element x y z (fractional)
Li (0.0643, 0.6250, 0.9393)  2 Li 2.49, 2 Rh 2.75
Li (0.3750, 0.3143, 0.4393)  2 Li 2.49, 2 Rh 2.75
Li (0.6857, 0.1250, 0.0607)  2 Li 2.49, 2 Rh 2.75
Li (0.8750, 0.9357, 0.5607)  2 Li 2.49, 2 Rh 2.75
Ca (0.2500, 0.7500, 0.5000)  4 Rh 2.81, 4 Li 2.92
Ca (0.5000, 0.5000, 0.0000)  4 Rh 2.81, 4 Li 2.92
Rh (0.0000, 0.0000, 0.0000)  4 Li 2.75, 4 Ca 2.81
Rh (0.7500, 0.2500, 0.5000)  4 Li 2.75, 4 Ca 2.81


Record 8
Density functional theory data (meta-GGA SCAN) for a crystal of IrPbW2Cl relaxed with PBEsol.

Properties
Formation energy (no corrections) ... 1.859 eV per atom
Space-group type ... No. 123
Raw total energy ... -56.99 eV/atom

a = 4.4691 Å, b = 4.4691 Å, c = 4.4557 Å
α = 90.00°, β = 90.00°, γ = 90.00°
Closest atoms and distances in Å follow each position.
Element x y z (fractional)
Ir (0.0000, 0.0000, 0.0000)  2 Cl 2.23
Pb (0.5000, 0.5000, 0.0000)  8 W 3.16, 4 Ir 3.16
W (0.0000, 0.5000, 0.5000)  2 Cl 2.23
W (0.5000, 0.0000, 0.5000)  2 Cl 2.23
Cl (0.0000, 0.0000, 0.5000)  2 Ir 2.23, 4 W 2.23


| no. | D(E_F) (states/eV/f.u.) | magnetization (μB/f.u.) |
| --- | --- | --- |
| 1 | 5.104 | 0.02 |
| 2 | 8.328 | 0.00 |
| 3 | 2.157 | 2.56 |
| 4 | 1.368 | 0.00 |
| 5 | 0.911 | 0.00 |
| 6 | 2.040 | 0.05 |
| 7 | 1.987 | 0.00 |
| 8 | 4.073 | 0.00 |